Entry 1:
Entry from Alexandria: crystalline Pu2TcN at its relaxed geometry (PBE-GGA).

a b c (Å): 3.2683 3.2683 8.1475
angles (deg): 78.43 78.43 60.00
With the nearest neighbours (Å) after each atom.
Sites, in units of the cell vectors:
Pu 0.8955 0.8955 0.3135  3 N 2.40, 1 Tc 2.49
Tc 0.0000 0.0000 0.0000  2 Pu 2.49
Pu 0.1045 0.1045 0.6865  3 N 2.40, 1 Tc 2.49
N 0.5000 0.5000 0.5000  6 Pu 2.40

E_form (uncorrected) ... -114.4 meV per atom

=====

Entry 2:
Entry from Alexandria: crystalline Pu3Tc5N12 at its relaxed geometry (PBE-GGA).

a b c (Å): 10.9640 10.9640 10.9640
angles (deg): 109.47 109.47 109.47
With the nearest neighbours (Å) after each atom.
Sites, in units of the cell vectors:
N 0.3183 0.5218 0.4010  2 Tc 1.85-2.06
Pu 0.6250 0.2500 0.3750  8 N 2.42-2.55
Tc 0.2500 0.8750 0.1250  4 N 1.85
Tc 0.6250 0.7500 0.8750  4 N 1.85
N 0.8183 0.9010 0.0218  2 Tc 1.85-2.06
N 0.4782 0.7964 0.8792  2 Tc 1.85-2.06
Tc 0.5000 0.5000 0.0000  6 N 2.06
Pu 0.7500 0.8750 0.6250  8 N 2.42-2.55
N 0.3792 0.4010 0.0827  2 Tc 1.85-2.06
Pu 0.1250 0.8750 0.7500  8 N 2.42-2.55
Tc 0.0000 0.0000 0.5000  6 N 2.06
Tc 0.5000 0.5000 0.5000  6 N 2.06
Pu 0.6250 0.3750 0.7500  8 N 2.42-2.55
N 0.7964 0.4782 0.3792  2 Tc 1.85-2.06
N 0.5990 0.6208 0.4173  2 Tc 1.85-2.06
Tc 0.0000 0.5000 0.0000  6 N 2.06
N 0.9173 0.8183 0.7964  2 Tc 1.85-2.06
N 0.5827 0.7036 0.6817  2 Tc 1.85-2.06
N 0.0827 0.1817 0.2036  2 Tc 1.85-2.06
Tc 0.5000 0.0000 0.0000  6 N 2.06
N 0.5827 0.8792 0.4010  2 Tc 1.85-2.06
Tc 0.3750 0.2500 0.1250  4 N 1.85
Tc 0.2500 0.3750 0.6250  4 N 1.85
N 0.9173 0.0990 0.6208  2 Tc 1.85-2.06
N 0.8183 0.9173 0.2964  2 Tc 1.85-2.06
Pu 0.2500 0.1250 0.3750  8 N 2.42-2.55
Pu 0.7500 0.3750 0.1250  8 N 2.42-2.55
N 0.8792 0.5827 0.9010  2 Tc 1.85-2.06
N 0.3183 0.7964 0.4173  2 Tc 1.85-2.06
N 0.9010 0.0827 0.8792  2 Tc 1.85-2.06
N 0.4782 0.6817 0.0990  2 Tc 1.85-2.06
N 0.1208 0.4173 0.0990  2 Tc 1.85-2.06
N 0.7036 0.1208 0.0218  2 Tc 1.85-2.06
N 0.9010 0.8183 0.5218  2 Tc 1.85-2.06
Tc 0.3750 0.1250 0.7500  4 N 1.85
Tc 0.8750 0.2500 0.6250  4 N 1.85
N 0.4010 0.0218 0.3183  2 Tc 1.85-2.06
Tc 0.0000 0.0000 0.0000  6 N 2.06
N 0.1817 0.0827 0.7036  2 Tc 1.85-2.06
N 0.5990 0.9782 0.6817  2 Tc 1.85-2.06
N 0.0990 0.9173 0.1208  2 Tc 1.85-2.06
N 0.7964 0.3183 0.9173  2 Tc 1.85-2.06
Tc 0.1250 0.3750 0.2500  4 N 1.85
Pu 0.3750 0.6250 0.2500  8 N 2.42-2.55
Tc 0.7500 0.6250 0.3750  4 N 1.85
N 0.6817 0.4782 0.5990  2 Tc 1.85-2.06
N 0.0218 0.4010 0.8183  2 Tc 1.85-2.06
N 0.3792 0.9782 0.7964  2 Tc 1.85-2.06
N 0.6208 0.0218 0.2036  2 Tc 1.85-2.06
N 0.0218 0.6208 0.7036  2 Tc 1.85-2.06
N 0.0827 0.9010 0.3792  2 Tc 1.85-2.06
N 0.7036 0.5827 0.1817  2 Tc 1.85-2.06
N 0.5218 0.3183 0.9010  2 Tc 1.85-2.06
N 0.4173 0.1208 0.5990  2 Tc 1.85-2.06
Tc 0.7500 0.1250 0.8750  4 N 1.85
Tc 0.1250 0.7500 0.3750  4 N 1.85
Pu 0.8750 0.1250 0.2500  8 N 2.42-2.55
Tc 0.0000 0.5000 0.5000  6 N 2.06
Tc 0.8750 0.6250 0.7500  4 N 1.85
Pu 0.3750 0.7500 0.6250  8 N 2.42-2.55
Tc 0.6250 0.8750 0.2500  4 N 1.85
N 0.9782 0.5990 0.1817  2 Tc 1.85-2.06
N 0.1208 0.7036 0.5218  2 Tc 1.85-2.06
N 0.2964 0.4173 0.8183  2 Tc 1.85-2.06
N 0.0990 0.1817 0.4782  2 Tc 1.85-2.06
N 0.4173 0.2964 0.3183  2 Tc 1.85-2.06
Pu 0.2500 0.6250 0.8750  8 N 2.42-2.55
N 0.4010 0.3792 0.5827  2 Tc 1.85-2.06
N 0.2964 0.8792 0.9782  2 Tc 1.85-2.06
Pu 0.8750 0.7500 0.1250  8 N 2.42-2.55
N 0.2036 0.6817 0.0827  2 Tc 1.85-2.06
N 0.6817 0.2036 0.5827  2 Tc 1.85-2.06
N 0.2036 0.5218 0.6208  2 Tc 1.85-2.06
N 0.9782 0.3792 0.2964  2 Tc 1.85-2.06
N 0.6208 0.5990 0.9173  2 Tc 1.85-2.06
N 0.8792 0.2964 0.4782  2 Tc 1.85-2.06
N 0.1817 0.0990 0.9782  2 Tc 1.85-2.06
Tc 0.5000 0.0000 0.5000  6 N 2.06
N 0.5218 0.2036 0.1208  2 Tc 1.85-2.06
Pu 0.1250 0.2500 0.8750  8 N 2.42-2.55

E_form (uncorrected) ... -383.6 meV per atom

=====

Entry 3:
Entry from Alexandria: crystalline Pu2TcN at its relaxed geometry (PBE-GGA).

a b c (Å): 3.1371 3.1371 6.6800
angles (deg): 90.00 90.00 90.00
With the nearest neighbours (Å) after each atom.
Sites, in units of the cell vectors:
Tc 0.5000 0.5000 0.5000  8 Pu 2.93, 4 Tc 3.14
Pu 0.0000 0.0000 0.7863  4 N 2.64, 1 Pu 2.85, 4 Tc 2.93
Pu 0.0000 0.0000 0.2137  4 N 2.64, 1 Pu 2.85, 4 Tc 2.93
N 0.5000 0.5000 0.0000  8 Pu 2.64

E_form (uncorrected) ... -153.4 meV per atom